[1]
A plane-wave DFT calculation with GGA-PBE was carried out for crystalline MgCo2Rh at its relaxed geometry.

- Fermi-level density of states: 5.737 states/eV/f.u.
- Crystal system: tetragonal
- Total energy: -5.746 eV/atom
- E_form: 0.17 eV per formula unit
- Size of the total moment: 3.7 μB per formula unit

Cell: 4.7625 4.7625 4.7625 Å, 135.09 135.09 65.40°
With the nearest neighbours (Å) after each atom.
Element x y z (fractional)
Co (0.0000, 0.0000, 0.0000)  4 Co 2.57, 4 Mg 2.71, 4 Rh 2.71
Co (0.5000, 0.5000, 0.0000)  4 Co 2.57, 4 Mg 2.71, 4 Rh 2.71
Mg (0.2500, 0.7500, 0.5000)  4 Rh 2.57, 8 Co 2.71
Rh (0.7500, 0.2500, 0.5000)  4 Mg 2.57, 8 Co 2.71


[2]
A plane-wave DFT calculation with GGA-PBE was carried out for crystalline Ba2ScSb at its relaxed geometry.

- Fermi-level density of states: 4.868 states/eV/f.u.
- Crystal system: tetragonal
- Total energy: -3.613 eV/atom
- Raw formation energy: -0.04 eV per atom
- Size of the total moment: 0.0 μB per formula unit

Cell: 9.8230 9.8230 7.6837 Å, 50.27 50.27 90.00°
With the nearest neighbours (Å) after each atom.
Element x y z (fractional)
Sc (0.5000, 0.5000, 0.0000)  2 Sb 3.29
Sc (0.2500, 0.7500, 0.5000)  2 Sb 3.29
Sb (0.0000, 0.0000, 0.0000)  2 Sc 3.29, 4 Ba 3.34
Sb (0.7500, 0.2500, 0.5000)  2 Sc 3.29, 4 Ba 3.34
Ba (0.6597, 0.1250, 0.2500)  2 Sb 3.34, 2 Ba 3.36
Ba (0.0903, 0.6250, 0.2500)  2 Sb 3.34, 2 Ba 3.36
Ba (0.3750, 0.3403, 0.7500)  2 Sb 3.34, 2 Ba 3.36
Ba (0.8750, 0.9097, 0.7500)  2 Sb 3.34, 2 Ba 3.36


[3]
A plane-wave DFT calculation with GGA-PBE was carried out for crystalline Ac2TlSn4Pt3 at its relaxed geometry.

- Fermi-level density of states: 3.115 states/eV/f.u.
- Crystal system: tetragonal
- Total energy: -5.200 eV/atom
- E_form: -7.29 eV per formula unit
- Size of the total moment: 0.0 μB per formula unit

Cell: 4.7459 4.7459 11.1685 Å, 90.00 90.00 90.00°
With the nearest neighbours (Å) after each atom.
Element x y z (fractional)
Ac (0.5000, 0.0000, 0.2476)  8 Sn 3.57-3.64, 6 Pt 3.64-3.68, 2 Tl 3.68
Ac (0.0000, 0.5000, 0.7524)  8 Sn 3.57-3.64, 6 Pt 3.64-3.68, 2 Tl 3.68
Tl (0.5000, 0.5000, 0.5000)  4 Sn 2.87
Sn (0.5000, 0.5000, 0.0000)  4 Pt 2.73
Sn (0.0000, 0.0000, 0.0000)  4 Pt 2.73
Sn (0.5000, 0.0000, 0.6439)  3 Pt 2.63-2.87, 2 Tl 2.87
Sn (0.0000, 0.5000, 0.3561)  3 Pt 2.63-2.87, 2 Tl 2.87
Pt (0.0000, 0.0000, 0.5000)  4 Sn 2.87
Pt (0.5000, 0.0000, 0.8798)  5 Sn 2.63-2.73
Pt (0.0000, 0.5000, 0.1202)  5 Sn 2.63-2.73


[4]
A plane-wave DFT calculation with GGA-PBE was carried out for crystalline LiCr2Ni at its relaxed geometry.

- Fermi-level density of states: 4.004 states/eV/f.u.
- Crystal system: monoclinic
- Total energy: -6.466 eV/atom
- E_form: 1.08 eV per formula unit
- Size of the total moment: 0.0 μB per formula unit

Cell: 4.2411 2.3673 4.6212 Å, 77.77 90.00 90.00°
With the nearest neighbours (Å) after each atom.
Element x y z (fractional)
Cr (0.0000, 0.0382, 0.9933)  4 Cr 2.26-2.47
Cr (0.0000, 0.4618, 0.5067)  4 Cr 2.26-2.47
Li (0.5000, 0.2500, 0.2500)  2 Ni 2.36, 2 Li 2.37, 4 Cr 2.53
Ni (0.5000, 0.7500, 0.7500)  2 Li 2.36, 2 Ni 2.37, 4 Cr 2.56


[5]
A plane-wave DFT calculation with GGA-PBE was carried out for crystalline Be2FeTe at its relaxed geometry.

- Fermi-level density of states: 2.549 states/eV/f.u.
- Crystal system: cubic
- Total energy: -4.123 eV/atom
- Raw formation energy: 0.64 eV per atom
- Size of the total moment: 0.0 μB per formula unit

Cell: 4.1468 4.1468 4.1468 Å, 60.00 60.00 60.00°
With the nearest neighbours (Å) after each atom.
Element x y z (fractional)
Be (0.0000, 0.0000, 0.0000)  4 Te 2.54, 4 Be 2.54
Be (0.2500, 0.2500, 0.2500)  4 Fe 2.54, 4 Be 2.54
Te (0.7500, 0.7500, 0.7500)  4 Fe 2.54, 4 Be 2.54
Fe (0.5000, 0.5000, 0.5000)  4 Be 2.54, 4 Te 2.54


[6]
A plane-wave DFT calculation with GGA-PBE was carried out for crystalline NdTm3Bi3 at its relaxed geometry.

- Fermi-level density of states: 5.102 states/eV/f.u.
- Crystal system: trigonal
- Total energy: -4.862 eV/atom
- E_form: -4.21 eV per formula unit
- Size of the total moment: 0.0 μB per formula unit

Cell: 9.1524 9.1524 8.1848 Å, 56.01 56.01 60.00°
With the nearest neighbours (Å) after each atom.
Element x y z (fractional)
Nd (0.3345, 0.3345, 0.9966)  6 Bi 3.28
Nd (0.6656, 0.6656, 0.0034)  6 Bi 3.28
Tm (0.3375, 0.8227, 0.7595)  5 Bi 3.10-3.35
Tm (0.8227, 0.0804, 0.7595)  5 Bi 3.10-3.35
Tm (0.0804, 0.3375, 0.7595)  5 Bi 3.10-3.35
Tm (0.9196, 0.6625, 0.2405)  5 Bi 3.10-3.35
Tm (0.1773, 0.9196, 0.2405)  5 Bi 3.10-3.35
Tm (0.6625, 0.1773, 0.2405)  5 Bi 3.10-3.35
Bi (0.2972, 0.5267, 0.2611)  5 Tm 3.10-3.35, 2 Nd 3.28
Bi (0.9150, 0.2972, 0.2611)  5 Tm 3.10-3.35, 2 Nd 3.28
Bi (0.5267, 0.9150, 0.2611)  5 Tm 3.10-3.35, 2 Nd 3.28
Bi (0.4733, 0.0850, 0.7389)  5 Tm 3.10-3.35, 2 Nd 3.28
Bi (0.0850, 0.7028, 0.7389)  5 Tm 3.10-3.35, 2 Nd 3.28
Bi (0.7028, 0.4733, 0.7389)  5 Tm 3.10-3.35, 2 Nd 3.28